NdErIrBr: relaxed, PBE.

a = 8.097 Å, b = 8.097 Å, c = 8.097 Å
α = 29.26°, β = 29.26°, γ = 29.26°
Sites, in units of the cell vectors:
Nd  0.000  0.000  0.000
Er  0.793  0.793  0.793
Ir  0.400  0.400  0.400
Br  0.227  0.227  0.227

Properties
ΔE_f (raw) (eV/f.u.): -4.31


Nd6Ni2SeI3: relaxed, PBE.

a = 7.351 Å, b = 7.351 Å, c = 8.191 Å
α = 98.63°, β = 98.63°, γ = 119.84°
Sites, in units of the cell vectors:
Nd  0.079  0.437  0.812
Nd  0.205  0.205  0.187
Nd  0.437  0.079  0.812
Nd  0.563  0.921  0.188
Nd  0.795  0.795  0.813
Nd  0.921  0.563  0.188
Ni  0.167  0.833  0.000
Ni  0.833  0.167  0.000
Se  0.500  0.500  0.000
I  0.000  0.000  0.500
I  0.339  0.661  0.500
I  0.661  0.339  0.500

Properties
ΔE_f (raw) (eV/f.u.): -10.99


BaMgSnH2: relaxed, PBE.

a = 6.826 Å, b = 6.826 Å, c = 6.612 Å
α = 90.00°, β = 90.00°, γ = 139.07°
Sites, in units of the cell vectors:
Ba  0.214  0.786  0.750
Ba  0.786  0.214  0.250
Mg  0.500  0.500  0.000
Mg  0.500  0.500  0.500
Sn  0.065  0.935  0.250
Sn  0.935  0.065  0.750
H  0.346  0.654  0.056
H  0.346  0.654  0.444
H  0.654  0.346  0.556
H  0.654  0.346  0.944


LiAl2Ge2: relaxed, PBE.

a = 7.636 Å, b = 7.636 Å, c = 3.121 Å
α = 90.00°, β = 90.00°, γ = 90.00°
Sites, in units of the cell vectors:
Li  0.000  0.000  0.000
Li  0.500  0.500  0.000
Al  0.135  0.365  0.500
Al  0.365  0.865  0.500
Al  0.635  0.135  0.500
Al  0.865  0.635  0.500
Ge  0.161  0.661  0.000
Ge  0.339  0.161  0.000
Ge  0.661  0.839  0.000
Ge  0.839  0.339  0.000

Properties
Formation enthalpy at 0 K (meV per atom): 6


La7Sm2Y3: relaxed, PBE.

a = 6.581 Å, b = 3.603 Å, c = 17.889 Å
α = 90.00°, β = 95.53°, γ = 90.00°
Sites, in units of the cell vectors:
La  0.000  0.000  0.000
La  0.226  0.500  0.172
La  0.262  0.500  0.492
La  0.277  0.000  0.833
La  0.723  0.000  0.167
La  0.738  0.500  0.508
La  0.774  0.500  0.828
Sm  0.057  0.500  0.669
Sm  0.943  0.500  0.331
Y  0.457  0.000  0.338
Y  0.500  0.500  0.000
Y  0.543  0.000  0.662

Properties
Formation enthalpy at 0 K (meV per atom): 56


CaHoTm4S8: relaxed, PBE.

a = 8.009 Å, b = 8.009 Å, c = 8.009 Å
α = 59.88°, β = 59.88°, γ = 59.88°
Sites, in units of the cell vectors:
Ca  0.000  0.000  0.000
Ho  0.627  0.627  0.627
Tm  0.119  0.627  0.627
Tm  0.250  0.250  0.250
Tm  0.627  0.119  0.627
Tm  0.627  0.627  0.119
S  0.382  0.382  0.853
S  0.382  0.853  0.382
S  0.383  0.383  0.383
S  0.408  0.866  0.866
S  0.853  0.382  0.382
S  0.864  0.864  0.864
S  0.866  0.408  0.866
S  0.866  0.866  0.408

Properties
ΔE_f (raw) (eV/f.u.): -27.92


NdSm14Th: relaxed, PBE.

a = 10.276 Å, b = 7.258 Å, c = 7.258 Å
α = 90.00°, β = 90.00°, γ = 90.00°
Sites, in units of the cell vectors:
Nd  0.000  0.000  0.000
Sm  0.000  0.001  0.500
Sm  0.000  0.500  0.001
Sm  0.249  0.253  0.748
Sm  0.249  0.254  0.254
Sm  0.249  0.747  0.747
Sm  0.249  0.748  0.253
Sm  0.500  0.000  0.501
Sm  0.500  0.001  0.001
Sm  0.500  0.500  0.500
Sm  0.500  0.501  0.000
Sm  0.751  0.253  0.748
Sm  0.751  0.254  0.254
Sm  0.751  0.747  0.747
Sm  0.751  0.748  0.253
Th  0.000  0.501  0.501

Properties
Formation enthalpy at 0 K (meV per atom): 23


Sc4InAgHg2: relaxed, PBE.

a = 8.609 Å, b = 8.609 Å, c = 8.609 Å
α = 33.51°, β = 33.51°, γ = 33.51°
Sites, in units of the cell vectors:
Sc  0.122  0.122  0.122
Sc  0.373  0.373  0.373
Sc  0.627  0.627  0.627
Sc  0.878  0.878  0.878
In  0.500  0.500  0.500
Ag  0.000  0.000  0.000
Hg  0.251  0.251  0.251
Hg  0.749  0.749  0.749

Properties
Formation enthalpy at 0 K (meV per atom): -389


LiMn2ReAs: relaxed, PBE.

a = 4.349 Å, b = 4.349 Å, c = 4.579 Å
α = 90.00°, β = 90.00°, γ = 90.00°
Sites, in units of the cell vectors:
Li  0.000  0.000  0.000
Mn  0.000  0.500  0.500
Mn  0.500  0.000  0.500
Re  0.500  0.500  0.000
As  0.500  0.500  0.500

Properties
Formation enthalpy at 0 K (meV per atom): 1278


Rb2Na2SiTe4: relaxed, PBE.

a = 7.267 Å, b = 7.267 Å, c = 6.668 Å
α = 101.95°, β = 101.95°, γ = 73.41°
Sites, in units of the cell vectors:
Rb  0.119  0.119  0.295
Rb  0.881  0.881  0.705
Na  0.330  0.330  0.858
Na  0.670  0.670  0.142
Si  0.500  0.500  0.500
Te  0.162  0.597  0.242
Te  0.403  0.838  0.758
Te  0.597  0.162  0.242
Te  0.838  0.403  0.758

Properties
ΔE_f (raw) (eV/f.u.): -4.41


Mo3HPb: relaxed, PBE.

a = 5.069 Å, b = 5.069 Å, c = 5.069 Å
α = 90.00°, β = 90.00°, γ = 90.00°
Sites, in units of the cell vectors:
Mo  0.000  0.000  0.500
Mo  0.000  0.500  0.000
Mo  0.500  0.000  0.000
H  0.500  0.500  0.500
Pb  0.000  0.000  0.000


Be3Te5: relaxed, PBE.

a = 10.963 Å, b = 10.963 Å, c = 7.240 Å
α = 98.32°, β = 98.32°, γ = 142.85°
Sites, in units of the cell vectors:
Be  0.000  0.000  0.000
Be  0.309  0.469  0.835
Be  0.406  0.798  0.032
Be  0.469  0.309  0.835
Be  0.710  0.710  0.468
Be  0.798  0.406  0.032
Te  0.067  0.241  0.248
Te  0.095  0.095  0.721
Te  0.111  0.481  0.687
Te  0.131  0.731  0.989
Te  0.241  0.067  0.248
Te  0.465  0.656  0.219
Te  0.481  0.111  0.687
Te  0.618  0.618  0.764
Te  0.656  0.465  0.219
Te  0.731  0.131  0.989

Properties
ΔE_f (raw) (eV/f.u.): -0.15


Dy2InB2Ir5: relaxed, PBE.

a = 9.747 Å, b = 9.747 Å, c = 3.221 Å
α = 90.00°, β = 90.00°, γ = 90.00°
Sites, in units of the cell vectors:
Dy  0.177  0.323  0.000
Dy  0.323  0.823  0.000
Dy  0.677  0.177  0.000
Dy  0.823  0.677  0.000
In  0.000  0.000  0.000
In  0.500  0.500  0.000
B  0.120  0.620  0.000
B  0.380  0.120  0.000
B  0.620  0.880  0.000
B  0.880  0.380  0.000
Ir  0.000  0.500  0.500
Ir  0.070  0.773  0.500
Ir  0.227  0.070  0.500
Ir  0.273  0.570  0.500
Ir  0.430  0.273  0.500
Ir  0.500  0.000  0.500
Ir  0.570  0.727  0.500
Ir  0.727  0.430  0.500
Ir  0.773  0.930  0.500
Ir  0.930  0.227  0.500

Properties
Formation enthalpy at 0 K (meV per atom): -680


Tb3Sn2H: relaxed, PBE.

a = 6.493 Å, b = 6.493 Å, c = 8.657 Å
α = 103.42°, β = 103.42°, γ = 57.50°
Sites, in units of the cell vectors:
Tb  0.156  0.844  0.750
Tb  0.230  0.481  0.346
Tb  0.481  0.230  0.846
Tb  0.519  0.770  0.154
Tb  0.770  0.519  0.654
Tb  0.844  0.156  0.250
Sn  0.014  0.275  0.006
Sn  0.275  0.014  0.506
Sn  0.725  0.986  0.494
Sn  0.986  0.725  0.994
H  0.496  0.504  0.750
H  0.504  0.496  0.250


SmPuTl2O6: relaxed, PBE.

a = 6.192 Å, b = 6.192 Å, c = 6.192 Å
α = 60.00°, β = 60.00°, γ = 60.00°
Sites, in units of the cell vectors:
Sm  0.000  0.000  0.000
Pu  0.500  0.500  0.500
Tl  0.250  0.250  0.250
Tl  0.750  0.750  0.750
O  0.267  0.732  0.270
O  0.268  0.730  0.733
O  0.270  0.267  0.732
O  0.730  0.733  0.268
O  0.732  0.270  0.267
O  0.733  0.268  0.730

Properties
ΔE_f (raw) (eV/f.u.): -21.36


MgMn2Br: relaxed, PBE.

a = 3.434 Å, b = 3.434 Å, c = 6.235 Å
α = 90.00°, β = 90.00°, γ = 90.00°
Sites, in units of the cell vectors:
Mg  0.000  0.000  0.000
Mn  0.500  0.500  0.223
Mn  0.500  0.500  0.777
Br  0.000  0.000  0.500

Properties
ΔE_f (raw) (eV/f.u.): 1.54


AcH2I: relaxed, PBE.

a = 3.534 Å, b = 3.534 Å, c = 6.739 Å
α = 90.00°, β = 90.00°, γ = 90.00°
Sites, in units of the cell vectors:
Ac  0.000  0.000  0.000
H  0.500  0.500  0.150
H  0.500  0.500  0.850
I  0.000  0.000  0.500


RbV2Zn: relaxed, PBE.

a = 10.764 Å, b = 10.764 Å, c = 10.764 Å
α = 156.33°, β = 156.33°, γ = 33.72°
Sites, in units of the cell vectors:
Rb  0.000  0.000  0.000
Rb  0.750  0.250  0.500
V  0.353  0.125  0.728
V  0.375  0.647  0.772
V  0.397  0.625  0.272
V  0.875  0.603  0.228
Zn  0.250  0.750  0.500
Zn  0.500  0.500  0.000

Properties
Formation enthalpy at 0 K (meV per atom): 1315


ZnTc3N: relaxed, PBE.

a = 4.029 Å, b = 4.029 Å, c = 6.037 Å
α = 90.00°, β = 90.00°, γ = 90.00°
Sites, in units of the cell vectors:
Zn  0.000  0.000  0.000
Tc  0.000  0.000  0.566
Tc  0.000  0.500  0.330
Tc  0.500  0.000  0.330
N  0.500  0.500  0.297

Properties
ΔE_f (raw) (eV/f.u.): 3.45


Dy3ThNi8: relaxed, PBE.

a = 8.830 Å, b = 8.830 Å, c = 8.830 Å
α = 33.55°, β = 33.55°, γ = 33.55°
Sites, in units of the cell vectors:
Dy  0.000  0.000  0.000
Dy  0.123  0.123  0.123
Dy  0.630  0.630  0.630
Th  0.503  0.503  0.503
Ni  0.064  0.564  0.564
Ni  0.065  0.065  0.563
Ni  0.065  0.563  0.065
Ni  0.314  0.314  0.314
Ni  0.563  0.065  0.065
Ni  0.564  0.064  0.564
Ni  0.564  0.564  0.064
Ni  0.814  0.814  0.814

Properties
Formation enthalpy at 0 K (meV per atom): -432


no.,mass density (g/cm³),E_tot (eV for the cell shown)
1,8.64,-24.18
2,6.54,-59.29
3,4.65,-31.69
4,3.76,-37.21
5,6.06,-62.65
6,5.21,-85.41
7,7.61,-77.89
8,7.71,-34.63
9,7.25,-30.96
10,3.85,-26.98
11,6.32,-23.03
12,4.72,-54.06
13,15.44,-152.80
14,8.00,-57.82
15,8.89,-74.89
16,4.83,-20.07
17,7.02,-13.45
18,4.18,-30.44
19,6.33,-37.25
20,10.54,-72.66